Below is a relaxed BaNi2F crystal, with properties calculated at the PBE with a Hubbard U level.

Geometry as extended XYZ:
```
4
Lattice="2.418 -3.889 0.154 -1.148 -3.520 -2.699 2.695 -1.163 -3.519" Properties=species:S:1:pos:R:3 pbc="T T T"
F 0.000 0.000 0.000
Ni 2.973 -6.429 -4.549
Ni 0.991 -2.143 -1.516
Ba 1.982 -4.286 -3.032
```

## Properties
As for the space group: Fm-3m, No. 225. The total energy is -1.58 eV per atom. For the volume, the calculation gives 68.0 Å³/cell. Its crystal system is cubic.